DFT (PBE) results for crystalline ErTiRh at its relaxed geometry.

```
6
Lattice="-3.917 -1.779 0.700 1.848 -3.119 2.419 -0.727 3.692 5.316" Properties=species:S:1:pos:R:3 pbc="T T T"
Ti -1.398 -0.602 4.217
Er -2.061 -0.367 1.101
Rh -2.470 1.707 4.088
Ti -0.364 1.846 2.658
Er 0.300 1.611 5.774
Rh 0.708 -0.463 2.787
```

Values from the calculation:
Total DFT energy (no corrections) = -7.202 eV per atom
M_tot = 0.000 μB/atom
Formation enthalpy at 0 K = -1.80 eV per formula unit
D(E_F) = 8.25 states/eV/cell
Crystal system = tetragonal
Space-group type = P4/nmm
Volume = 123.71 Å³/cell